No. 1
# BaMg2Zn (meta-GGA SCAN, PBEsol geometry)
# Crystal system: orthorhombic
# V (Å³/cell): 107
data_BaMg2Zn
_chemical_formula_sum 'Ba1 Mg2 Zn1'
_cell_length_a 5.321
_cell_length_b 5.321
_cell_length_c 5.321
_cell_angle_alpha 120.07
_cell_angle_beta 119.95
_cell_angle_gamma 89.98
_space_group_name_H-M_alt 'P 1'
_space_group_IT_number 1
loop_
_space_group_symop_operation_xyz
'x,y,z'
loop_
_atom_site_label
_atom_site_fract_x
_atom_site_fract_y
_atom_site_fract_z
Ba1 0.000 0.000 0.000
Mg1 0.500 0.500 0.000
Mg2 0.749 0.249 0.500
Zn1 0.251 0.751 0.500

=====

No. 2
# Sr3Al (meta-GGA SCAN, PBEsol geometry)
# Crystal system: orthorhombic
# V (Å³/cell): 663
data_Sr3Al
_chemical_formula_sum 'Sr12 Al4'
_cell_length_a 9.294
_cell_length_b 10.381
_cell_length_c 6.875
_cell_angle_alpha 90.00
_cell_angle_beta 90.00
_cell_angle_gamma 90.00
_space_group_name_H-M_alt 'P 1'
_space_group_IT_number 1
loop_
_space_group_symop_operation_xyz
'x,y,z'
loop_
_atom_site_label
_atom_site_fract_x
_atom_site_fract_y
_atom_site_fract_z
Sr1 0.032 0.250 0.105
Sr2 0.171 0.060 0.634
Sr3 0.171 0.440 0.634
Sr4 0.329 0.560 0.134
Sr5 0.329 0.940 0.134
Sr6 0.468 0.750 0.605
Sr7 0.532 0.250 0.395
Sr8 0.671 0.060 0.866
Sr9 0.671 0.440 0.866
Sr10 0.829 0.560 0.366
Sr11 0.829 0.940 0.366
Sr12 0.968 0.750 0.895
Al1 0.123 0.750 0.439
Al2 0.377 0.250 0.939
Al3 0.623 0.750 0.061
Al4 0.877 0.250 0.561

=====

No. 3
# SrCuSi2 (meta-GGA SCAN, PBEsol geometry)
# Crystal system: monoclinic
# V (Å³/cell): 83
# ΔE_f (raw) (eV/atom): -0.2053
data_SrCuSi2
_chemical_formula_sum 'Sr1 Cu1 Si2'
_cell_length_a 3.943
_cell_length_b 4.006
_cell_length_c 5.368
_cell_angle_alpha 90.00
_cell_angle_beta 102.80
_cell_angle_gamma 90.00
_space_group_name_H-M_alt 'P 1'
_space_group_IT_number 1
loop_
_space_group_symop_operation_xyz
'x,y,z'
loop_
_atom_site_label
_atom_site_fract_x
_atom_site_fract_y
_atom_site_fract_z
Sr1 0.000 0.000 0.000
Cu1 0.500 0.000 0.500
Si1 0.294 0.500 0.640
Si2 0.706 0.500 0.360

=====

No. 4
# YAgP2 (meta-GGA SCAN, PBEsol geometry)
# Crystal system: tetragonal
# V (Å³/cell): 169
data_YAgP2
_chemical_formula_sum 'Y2 Ag2 P4'
_cell_length_a 8.610
_cell_length_b 8.610
_cell_length_c 8.610
_cell_angle_alpha 148.94
_cell_angle_beta 148.94
_cell_angle_gamma 44.50
_space_group_name_H-M_alt 'P 1'
_space_group_IT_number 1
loop_
_space_group_symop_operation_xyz
'x,y,z'
loop_
_atom_site_label
_atom_site_fract_x
_atom_site_fract_y
_atom_site_fract_z
Y1 0.000 0.000 0.000
Y2 0.750 0.250 0.500
Ag1 0.250 0.750 0.500
Ag2 0.500 0.500 0.000
P1 0.206 0.625 0.081
P2 0.375 0.456 0.581
P3 0.544 0.125 0.919
P4 0.875 0.794 0.419

=====

No. 5
# YS2IN (meta-GGA SCAN, PBEsol geometry)
# Crystal system: tetragonal
# V (Å³/cell): 102
# ΔE_f (raw) (eV/atom): 0.3204
data_YS2IN
_chemical_formula_sum 'Y1 S2 I1 N1'
_cell_length_a 5.066
_cell_length_b 5.066
_cell_length_c 3.990
_cell_angle_alpha 90.00
_cell_angle_beta 90.00
_cell_angle_gamma 90.00
_space_group_name_H-M_alt 'P 1'
_space_group_IT_number 1
loop_
_space_group_symop_operation_xyz
'x,y,z'
loop_
_atom_site_label
_atom_site_fract_x
_atom_site_fract_y
_atom_site_fract_z
Y1 0.000 0.000 0.000
S1 0.000 0.500 0.500
S2 0.500 0.000 0.500
I1 0.500 0.500 0.500
N1 0.500 0.500 0.000

=====

No. 6
# Li2NbBRh (meta-GGA SCAN, PBEsol geometry)
# Crystal system: tetragonal
# V (Å³/cell): 81
data_Li2NbBRh
_chemical_formula_sum 'Li2 Nb1 B1 Rh1'
_cell_length_a 4.132
_cell_length_b 4.132
_cell_length_c 4.772
_cell_angle_alpha 90.00
_cell_angle_beta 90.00
_cell_angle_gamma 90.00
_space_group_name_H-M_alt 'P 1'
_space_group_IT_number 1
loop_
_space_group_symop_operation_xyz
'x,y,z'
loop_
_atom_site_label
_atom_site_fract_x
_atom_site_fract_y
_atom_site_fract_z
Li1 0.000 0.500 0.000
Li2 0.500 0.000 0.000
Nb1 0.000 0.000 0.500
B1 0.500 0.500 0.500
Rh1 0.000 0.000 0.000

=====

Q: Which uncorrected energy values were calculated for the entries above? A: -63.074 -299.428 -58.327 -162.370 -91.530 -73.581, in eV per cell.